No. 1
VASP calculation (PBE) on a relaxed structure of Ce2Al3ZnAu4.

Formation enthalpy at 0 K = -0.625 eV/atom
M_tot = 1.7 μB per cell

Unit cell a=4.434 b=4.434 c=10.444 alpha=90.00 beta=90.00 gamma=90.00
Space group P-4m2 (No. 115)
Asymmetric unit:
Ce: 0.000 0.500 0.248
Al: 0.000 0.000 0.000
Al: 0.000 0.500 0.629
Zn: 0.500 0.500 0.000
Au: 0.000 0.000 0.500
Au: 0.000 0.500 0.867
Au: 0.500 0.500 0.500

No. 2
VASP calculation (PBE) on a relaxed structure of Ce2Al4Zn3Au.

Formation enthalpy at 0 K = -0.433 eV/atom
M_tot = 1.3 μB per cell

Unit cell a=4.286 b=4.286 c=10.653 alpha=90.00 beta=90.00 gamma=90.00
Space group P-4m2 (No. 115)
Asymmetric unit:
Ce: 0.000 0.500 0.250
Al: 0.000 0.000 0.000
Al: 0.000 0.500 0.633
Al: 0.500 0.500 0.000
Zn: 0.000 0.500 0.864
Zn: 0.500 0.500 0.500
Au: 0.000 0.000 0.500

No. 3
VASP calculation (PBE) on a relaxed structure of CeAl2Zn2Au.

Formation enthalpy at 0 K = -0.033 eV/atom
M_tot = 1.2 μB per cell

Unit cell a=4.831 b=4.831 c=5.862 alpha=90.00 beta=90.00 gamma=90.00
Space group P4/mmm (No. 123)
Asymmetric unit:
Ce: 0.000 0.000 0.000
Al: 0.000 0.500 0.500
Zn: 0.500 0.500 0.217
Au: 0.000 0.000 0.500

No. 4
VASP calculation (PBE) on a relaxed structure of Ce2Al6ZnAu.

Formation enthalpy at 0 K = -0.153 eV/atom
M_tot = 11.2 μB per cell

Unit cell a=6.3691 b=6.3691 c=35.9417 alpha=90.00 beta=90.00 gamma=120.00
Space group R-3m (No. 166, hexagonal axes)
Asymmetric unit:
Ce: 0.0000 0.0000 0.1372
Ce: 0.0000 0.0000 0.3131
Al: 0.0528 0.5264 0.7235
Al: 0.0575 0.5288 0.8798
Zn: 0.0000 0.0000 0.4195
Au: 0.0000 0.0000 0.0000
Au: 0.0000 0.0000 0.5000

No. 5
VASP calculation (PBE) on a relaxed structure of CeAl2ZnAu5.

Formation enthalpy at 0 K = -0.279 eV/atom
M_tot = 0.9 μB per cell

Unit cell a=4.915 b=4.915 c=7.737 alpha=90.00 beta=90.00 gamma=90.00
Space group P4/mmm (No. 123)
Asymmetric unit:
Ce: 0.000 0.000 0.000
Al: 0.500 0.500 0.337
Zn: 0.000 0.000 0.500
Au: 0.000 0.500 0.251
Au: 0.500 0.500 0.000

No. 6
VASP calculation (PBE) on a relaxed structure of CeAlZn4Au2.

Formation enthalpy at 0 K = -0.231 eV/atom
M_tot = 2.5 μB per cell

Unit cell a=4.3968 b=4.3968 c=26.7011 alpha=90.00 beta=90.00 gamma=120.00
Space group R-3m (No. 166, hexagonal axes)
Asymmetric unit:
Ce: 0.0000 0.0000 0.0000
Al: 0.0000 0.0000 0.5000
Zn: 0.0000 0.0000 0.1266
Zn: 0.0000 0.0000 0.3973
Au: 0.0000 0.0000 0.2444

No. 7
VASP calculation (PBE) on a relaxed structure of Ce2AlZn3Au4.

Formation enthalpy at 0 K = -0.500 eV/atom
M_tot = 1.9 μB per cell

Unit cell a=4.375 b=4.375 c=10.773 alpha=90.00 beta=90.00 gamma=90.00
Space group P-4m2 (No. 115)
Asymmetric unit:
Ce: 0.000 0.500 0.248
Al: 0.500 0.500 0.000
Zn: 0.000 0.000 0.000
Zn: 0.000 0.500 0.633
Au: 0.000 0.000 0.500
Au: 0.000 0.500 0.868
Au: 0.500 0.500 0.500

No. 8
VASP calculation (PBE) on a relaxed structure of CeAl3ZnAu.

Formation enthalpy at 0 K = -0.183 eV/atom
M_tot = 3.9 μB per cell

Unit cell a=6.113 b=13.585 c=5.848 alpha=90.00 beta=90.00 gamma=90.00
Space group Cmcm (No. 63)
Asymmetric unit:
Ce: 0.000 0.196 0.250
Al: 0.000 0.364 0.750
Al: 0.210 0.000 0.000
Zn: 0.000 0.151 0.750
Au: 0.000 0.409 0.250

No. 9
VASP calculation (PBE) on a relaxed structure of CeAlZnAu.

Formation enthalpy at 0 K = -0.467 eV/atom
M_tot = 1.5 μB per cell
Energy above the most stable polymorph in this dataset = 0.0000 eV per atom

Unit cell a=6.872 b=6.872 c=6.872 alpha=90.00 beta=90.00 gamma=90.00
Space group F-43m (No. 216)
Asymmetric unit:
Ce: 0.000 0.000 0.000
Al: 0.000 0.000 0.500
Zn: 0.250 0.250 0.750
Au: 0.250 0.250 0.250

No. 10
VASP calculation (PBE) on a relaxed structure of CeAlZnAu3.

Formation enthalpy at 0 K = -0.359 eV/atom
M_tot = 4.1 μB per cell

Unit cell a=6.640 b=11.994 c=6.466 alpha=90.00 beta=90.00 gamma=90.00
Space group Cmcm (No. 63)
Asymmetric unit:
Ce: 0.000 0.205 0.250
Al: 0.000 0.121 0.750
Zn: 0.000 0.453 0.250
Au: 0.000 0.326 0.750
Au: 0.215 0.000 0.000

No. 11
VASP calculation (PBE) on a relaxed structure of CeAlZn5Au2.

Formation enthalpy at 0 K = 0.005 eV/atom
M_tot = 1.1 μB per cell

Unit cell a=4.956 b=4.956 c=7.527 alpha=90.00 beta=90.00 gamma=90.00
Space group P4/mmm (No. 123)
Asymmetric unit:
Ce: 0.000 0.000 0.000
Al: 0.000 0.000 0.500
Zn: 0.000 0.500 0.275
Zn: 0.500 0.500 0.000
Au: 0.500 0.500 0.324

No. 12
VASP calculation (PBE) on a relaxed structure of CeAl2ZnAu4.

Formation enthalpy at 0 K = -0.479 eV/atom
M_tot = 2.2 μB per cell

Unit cell a=4.4410 b=4.4410 c=26.9633 alpha=90.00 beta=90.00 gamma=120.00
Space group R-3m (No. 166, hexagonal axes)
Asymmetric unit:
Ce: 0.0000 0.0000 0.0000
Al: 0.0000 0.0000 0.2417
Zn: 0.0000 0.0000 0.5000
Au: 0.0000 0.0000 0.1322
Au: 0.0000 0.0000 0.3973

No. 13
VASP calculation (PBE) on a relaxed structure of CeAlZnAu.

Formation enthalpy at 0 K = -0.382 eV/atom
M_tot = 1.9 μB per cell
Energy above the most stable polymorph in this dataset = 0.0848 eV per atom

Unit cell a=4.4410 b=4.4410 c=14.9674 alpha=90.00 beta=90.00 gamma=120.00
Space group R3m (No. 160, hexagonal axes)
Asymmetric unit:
Ce: 0.0000 0.0000 0.0000
Al: 0.0000 0.0000 0.2123
Zn: 0.0000 0.0000 0.5128
Au: 0.0000 0.0000 0.7875

No. 14
VASP calculation (PBE) on a relaxed structure of AlAu2Cl.

ΔE_f (raw) = -0.604 eV per formula unit
M_tot = 0.0 μB per cell
Energy above the most stable polymorph in this dataset = 0.2516 eV per atom

Unit cell a=3.569 b=5.433 c=7.892 alpha=90.00 beta=90.00 gamma=90.00
Space group Cmmm (No. 65)
Asymmetric unit:
Al: 0.000 0.000 0.000
Au: 0.000 0.500 0.225
Cl: 0.000 0.000 0.500

No. 15
VASP calculation (PBE) on a relaxed structure of AlAuCl4.

ΔE_f (raw) = -5.974 eV per formula unit
M_tot = 0.0 μB per cell
Energy above the most stable polymorph in this dataset = 0.0000 eV per atom

Unit cell a=6.458 b=6.458 c=8.970 alpha=90.00 beta=90.00 gamma=90.00
Space group I-4 (No. 82)
Asymmetric unit:
Al: 0.000 0.000 0.000
Au: 0.000 0.500 0.250
Cl: 0.190 0.205 0.867

No. 16
VASP calculation (PBE) on a relaxed structure of AlAuCl2.

ΔE_f (raw) = -0.201 eV per formula unit
M_tot = 0.0 μB per cell
Energy above the most stable polymorph in this dataset = 0.8044 eV per atom

Unit cell a=7.201 b=7.201 c=10.059 alpha=90.00 beta=90.00 gamma=90.00
Space group I-42d (No. 122)
Asymmetric unit:
Al: 0.000 0.000 0.000
Au: 0.000 0.000 0.500
Cl: 0.090 0.750 0.125

No. 17
VASP calculation (PBE) on a relaxed structure of AlAu2Cl.

ΔE_f (raw) = -1.444 eV per formula unit
M_tot = 0.0 μB per cell
Energy above the most stable polymorph in this dataset = 0.0416 eV per atom

Unit cell a=3.2954 b=3.2954 c=26.8638 alpha=90.00 beta=90.00 gamma=120.00
Space group R3m (No. 160, hexagonal axes)
Asymmetric unit:
Al: 0.0000 0.0000 0.0000
Au: 0.0000 0.0000 0.4738
Au: 0.0000 0.0000 0.7280
Cl: 0.0000 0.0000 0.2727

No. 18
VASP calculation (PBE) on a relaxed structure of AlAu2Cl.

ΔE_f (raw) = 0.194 eV per formula unit
M_tot = 0.0 μB per cell
Energy above the most stable polymorph in this dataset = 0.4511 eV per atom

Unit cell a=3.856 b=3.856 c=5.674 alpha=90.00 beta=90.00 gamma=90.00
Space group P4/mmm (No. 123)
Asymmetric unit:
Al: 0.000 0.000 0.000
Au: 0.000 0.500 0.500
Cl: 0.500 0.500 0.000

No. 19
VASP calculation (PBE) on a relaxed structure of AlAu2Cl.

ΔE_f (raw) = -0.107 eV per formula unit
M_tot = 0.0 μB per cell
Energy above the most stable polymorph in this dataset = 0.3758 eV per atom

Unit cell a=5.510 b=10.679 c=3.542 alpha=90.00 beta=129.68 gamma=90.00
Space group C2/m (No. 12)
Asymmetric unit:
Al: 0.000 0.000 0.000
Au: 0.250 0.250 0.000
Cl: 0.000 0.500 0.000

No. 20
VASP calculation (PBE) on a relaxed structure of AlAuCl2.

ΔE_f (raw) = -0.804 eV per formula unit
M_tot = 0.0 μB per cell
Energy above the most stable polymorph in this dataset = 0.6535 eV per atom

Unit cell a=3.3208 b=3.3208 c=29.2850 alpha=90.00 beta=90.00 gamma=120.00
Space group R-3m (No. 166, hexagonal axes)
Asymmetric unit:
Al: 0.0000 0.0000 0.0000
Au: 0.0000 0.0000 0.5000
Cl: 0.0000 0.0000 0.3866

No. 21
VASP calculation (PBE) on a relaxed structure of AlAu2Cl.

ΔE_f (raw) = 0.979 eV per formula unit
M_tot = 0.0 μB per cell
Energy above the most stable polymorph in this dataset = 0.6474 eV per atom

Unit cell a=6.753 b=6.753 c=6.753 alpha=90.00 beta=90.00 gamma=90.00
Space group Fm-3m (No. 225)
Asymmetric unit:
Al: 0.000 0.000 0.000
Au: 0.250 0.250 0.250
Cl: 0.000 0.000 0.500

No. 22
VASP calculation (PBE) on a relaxed structure of AlAuCl2.

ΔE_f (raw) = 0.237 eV per formula unit
M_tot = 0.0 μB per cell
Energy above the most stable polymorph in this dataset = 0.9138 eV per atom

Unit cell a=3.406 b=3.418 c=7.363 alpha=90.00 beta=90.00 gamma=90.00
Space group Pmmm (No. 47)
Asymmetric unit:
Al: 0.000 0.000 0.000
Au: 0.000 0.000 0.500
Cl: 0.500 0.500 0.258

No. 23
VASP calculation (PBE) on a relaxed structure of AlAu4Cl.

ΔE_f (raw) = 0.218 eV per formula unit
M_tot = 0.0 μB per cell

Unit cell a=7.873 b=7.873 c=7.873 alpha=90.00 beta=90.00 gamma=90.00
Space group F-43m (No. 216)
Asymmetric unit:
Al: 0.000 0.000 0.000
Au: 0.125 0.125 0.625
Cl: 0.250 0.250 0.250

No. 24
VASP calculation (PBE) on a relaxed structure of AlAuCl2.

ΔE_f (raw) = 0.279 eV per formula unit
M_tot = 0.0 μB per cell
Energy above the most stable polymorph in this dataset = 0.9243 eV per atom

Unit cell a=6.994 b=6.994 c=6.994 alpha=90.00 beta=90.00 gamma=90.00
Space group Fm-3m (No. 225)
Asymmetric unit:
Al: 0.000 0.000 0.000
Au: 0.000 0.000 0.500
Cl: 0.250 0.250 0.250

No. 25
VASP calculation (PBE) on a relaxed structure of AlAuCl4.

ΔE_f (raw) = 3.869 eV per formula unit
M_tot = 8.4 μB per cell
Energy above the most stable polymorph in this dataset = 1.6405 eV per atom

Unit cell a=8.425 b=8.425 c=8.425 alpha=90.00 beta=90.00 gamma=90.00
Space group F-43m (No. 216)
Asymmetric unit:
Al: 0.000 0.000 0.000
Au: 0.250 0.250 0.750
Cl: 0.125 0.125 0.375

No. 26
VASP calculation (PBE) on a relaxed structure of AlAu2Cl.

ΔE_f (raw) = -1.258 eV per formula unit
M_tot = 0.0 μB per cell
Energy above the most stable polymorph in this dataset = 0.0882 eV per atom

Unit cell a=5.494 b=8.973 c=3.274 alpha=90.00 beta=90.00 gamma=90.00
Space group Cmmm (No. 65)
Asymmetric unit:
Al: 0.000 0.000 0.000
Au: 0.000 0.214 0.500
Cl: 0.000 0.500 0.000

The calculation returns the following ρ values, one per record and in order: 9820 6629 6333 5559 11056 9168 10396 6611 8789 10621 7978 11329 8369 9902 3247 3754 8999 8984 9448 5252 9842 5712 11572 5723 4063 9389 kg/m³.
The calculation returns the following final energy values, one per record and in order: -4.37 -3.83 -3.24 -4.04 -3.73 -2.90 -3.75 -3.80 -4.02 -3.82 -2.51 -3.95 -3.94 -3.19 -3.40 -2.73 -3.40 -2.99 -3.06 -2.88 -2.79 -2.62 -3.08 -2.61 -1.76 -3.35 eV per atom.